A geometry-optimized CrP2RuCl structure. Source: Alexandria, functional PBE.

Unit cell a=4.5017 b=4.5017 c=4.9517 alpha=90.00 beta=90.00 gamma=90.00
Closest atoms and distances in Å follow each position.
Fractional coordinates of all 5 atoms:
Cr: 0.0000 0.0000 0.0000  4 Cl 3.18, 8 P 3.35
P: 0.0000 0.5000 0.5000  2 Ru 2.25
P: 0.5000 0.0000 0.5000  2 Ru 2.25
Ru: 0.5000 0.5000 0.5000  4 P 2.25, 2 Cl 2.48
Cl: 0.5000 0.5000 0.0000  2 Ru 2.48

Results
- Total energy: -0.38623 Ry per atom
- ΔE to the lowest computed polymorph: 0.208 eV per atom
- Volume: 20.07 Å³ per atom
- Formation energy without anion corrections: 1.0583 eV per atom

A geometry-optimized CrPRuCl2 structure. Source: Alexandria, functional PBE.

Unit cell a=4.5135 b=4.5135 c=4.6805 alpha=90.00 beta=90.00 gamma=90.00
Closest atoms and distances in Å follow each position.
Fractional coordinates of all 5 atoms:
Cr: 0.0000 0.0000 0.0000  4 Cl 2.26, 2 P 2.34
P: 0.0000 0.0000 0.5000  2 Cr 2.34
Ru: 0.5000 0.5000 0.5000  4 P 3.19, 8 Cl 3.25
Cl: 0.0000 0.5000 0.0000  2 Cr 2.26
Cl: 0.5000 0.0000 0.0000  2 Cr 2.26

Results
- Total energy: -0.35164 Ry per atom
- ΔE to the lowest computed polymorph: 0.000 eV per atom
- Volume: 19.07 Å³ per atom
- Formation energy without anion corrections: 0.8162 eV per atom

A geometry-optimized CrPRuCl2 structure. Source: Alexandria, functional PBE.

Unit cell a=4.9261 b=4.9261 c=4.4425 alpha=90.00 beta=90.00 gamma=90.00
Closest atoms and distances in Å follow each position.
Fractional coordinates of all 5 atoms:
Cr: 0.0000 0.0000 0.0000  8 Cl 3.32, 4 P 3.48
P: 0.5000 0.5000 0.0000  2 Ru 2.22
Ru: 0.5000 0.5000 0.5000  2 P 2.22, 4 Cl 2.46
Cl: 0.0000 0.5000 0.5000  2 Ru 2.46
Cl: 0.5000 0.0000 0.5000  2 Ru 2.46

Results
- Total energy: -0.34418 Ry per atom
- ΔE to the lowest computed polymorph: 0.101 eV per atom
- Volume: 21.56 Å³ per atom
- Formation energy without anion corrections: 0.9176 eV per atom

A geometry-optimized CrP2RuCl structure. Source: Alexandria, functional PBE.

Unit cell a=4.4563 b=4.4563 c=4.6344 alpha=90.00 beta=90.00 gamma=90.00
Closest atoms and distances in Å follow each position.
Fractional coordinates of all 5 atoms:
Cr: 0.0000 0.0000 0.0000  4 P 2.23, 2 Cl 2.32
P: 0.0000 0.5000 0.0000  2 Cr 2.23
P: 0.5000 0.0000 0.0000  2 Cr 2.23
Ru: 0.5000 0.5000 0.5000  4 Cl 3.15, 8 P 3.21
Cl: 0.0000 0.0000 0.5000  2 Cr 2.32

Results
- Total energy: -0.40153 Ry per atom
- ΔE to the lowest computed polymorph: 0.000 eV per atom
- Volume: 18.41 Å³ per atom
- Formation energy without anion corrections: 0.8500 eV per atom

A geometry-optimized CrPS2Cl structure. Source: Alexandria, functional PBE.

Unit cell a=4.6481 b=4.6481 c=4.5622 alpha=90.00 beta=90.00 gamma=90.00
Closest atoms and distances in Å follow each position.
Fractional coordinates of all 5 atoms:
Cr: 0.0000 0.0000 0.0000  2 Cl 2.28, 4 S 2.32
P: 0.5000 0.5000 0.5000  8 S 3.26, 4 Cl 3.29
S: 0.0000 0.5000 0.0000  2 Cr 2.32
S: 0.5000 0.0000 0.0000  2 Cr 2.32
Cl: 0.0000 0.0000 0.5000  2 Cr 2.28

Results
- Total energy: -0.34084 Ry per atom
- ΔE to the lowest computed polymorph: 0.141 eV per atom
- Volume: 19.71 Å³ per atom
- Formation energy without anion corrections: 0.3896 eV per atom

A geometry-optimized CrP2SCl structure. Source: Alexandria, functional PBE.

Unit cell a=4.5185 b=4.5185 c=4.5854 alpha=90.00 beta=90.00 gamma=90.00
Closest atoms and distances in Å follow each position.
Fractional coordinates of all 5 atoms:
Cr: 0.0000 0.0000 0.0000  4 Cl 3.20, 8 P 3.22
P: 0.0000 0.5000 0.5000  2 S 2.26
P: 0.5000 0.0000 0.5000  2 S 2.26
S: 0.5000 0.5000 0.5000  4 P 2.26, 2 Cl 2.29
Cl: 0.5000 0.5000 0.0000  2 S 2.29

Results
- Total energy: -0.28986 Ry per atom
- ΔE to the lowest computed polymorph: 1.054 eV per atom
- Volume: 18.72 Å³ per atom
- Formation energy without anion corrections: 1.3397 eV per atom